(1)
MgFeCo2: relaxed, GGA-PBEsol.

Structure (POSCAR):
```
MgFeCo2
1.0
2.833 0.000 0.000
0.000 2.833 0.000
0.000 0.000 6.028
Mg Co Fe
1 2 1
Direct
0.500 0.500 0.500
0.000 0.000 0.784
0.000 0.000 0.216
0.500 0.500 0.000
```

**V**: 12.10 Å³ per atom
**DOS(E_F)**: 4.00 states/eV/cell
**Calculated formation energy**: 78 meV/atom
**Electronic total energy**: -25.8 eV/cell



(2)
Li2CrIr: relaxed, GGA-PBEsol.

Structure (POSCAR):
```
Li2CrIr
1.0
2.889 0.000 0.000
0.000 2.889 0.000
0.000 0.000 6.725
Cr Ir Li
1 1 2
Direct
0.000 0.000 0.534
0.500 0.500 0.722
0.000 0.000 0.982
0.500 0.500 0.262
```

**V**: 14.03 Å³ per atom
**DOS(E_F)**: 4.89 states/eV/cell
**Calculated formation energy**: 145 meV/atom
**Electronic total energy**: -23.4 eV/cell



(3)
TlCdNi2B: relaxed, GGA-PBEsol.

Structure (POSCAR):
```
TlCdNi2B
1.0
-0.407 -1.886 3.572
4.760 -0.181 0.446
-0.048 4.233 2.229
Ni Tl B Cd
2 1 1 1
Direct
0.000 0.000 0.500
0.000 0.500 0.000
0.000 0.000 0.000
0.500 0.000 0.000
0.500 0.500 0.500
```

**V**: 18.58 Å³ per atom
**DOS(E_F)**: 3.88 states/eV/cell
**Calculated formation energy**: 1486 meV/atom
**Electronic total energy**: -15.7 eV/cell



(4)
Y3CoB: relaxed, GGA-PBEsol.

Structure (POSCAR):
```
Y3CoB
1.0
4.887 0.000 0.000
0.000 4.887 0.000
0.000 0.000 4.887
Y B Co
3 1 1
Direct
0.000 0.500 0.000
0.500 0.000 0.000
0.000 0.000 0.500
0.000 0.000 0.000
0.500 0.500 0.500
```

**V**: 23.34 Å³ per atom
**DOS(E_F)**: 7.40 states/eV/cell
**Calculated formation energy**: 364 meV/atom
**Electronic total energy**: -33.4 eV/cell



(5)
NbAlC2: relaxed, GGA-PBEsol.

Structure (POSCAR):
```
NbAlC2
1.0
-1.801 -1.986 -3.900
-3.675 -1.604 2.514
0.371 5.765 -0.235
C Nb Al
4 2 2
Direct
0.872 0.375 0.250
0.378 0.875 0.250
0.625 0.622 0.750
0.125 0.128 0.750
0.250 0.750 0.500
0.000 0.000 0.000
0.750 0.250 0.500
0.500 0.500 0.000
```

**V**: 13.20 Å³ per atom
**DOS(E_F)**: 0.13 states/eV/cell
**Calculated formation energy**: 174 meV/atom
**Electronic total energy**: -67.0 eV/cell



(6)
YSc2Cr: relaxed, GGA-PBEsol.

Structure (POSCAR):
```
YSc2Cr
1.0
-3.593 1.914 2.296
-0.757 -4.056 2.197
4.664 2.204 0.704
Cr Sc Y
1 2 1
Direct
0.000 0.000 0.000
0.750 0.250 0.500
0.250 0.750 0.500
0.500 0.500 0.000
```

**V**: 21.97 Å³ per atom
**DOS(E_F)**: 4.06 states/eV/cell
**Calculated formation energy**: 354 meV/atom
**Electronic total energy**: -28.9 eV/cell



(7)
BaCdPb2: relaxed, GGA-PBEsol.

Structure (POSCAR):
```
BaCdPb2
1.0
4.697 0.000 0.000
-2.348 4.763 -0.046
0.000 -1.914 5.897
Pb Ba Cd
2 1 1
Direct
0.760 0.521 0.828
0.240 0.479 0.172
0.000 0.000 0.500
0.500 0.000 0.000
```

**V**: 32.88 Å³ per atom
**DOS(E_F)**: 1.45 states/eV/cell
**Calculated formation energy**: -304 meV/atom
**Electronic total energy**: -12.6 eV/cell



(8)
ZrZn2Au: relaxed, GGA-PBEsol.

Structure (POSCAR):
```
ZrZn2Au
1.0
3.049 0.000 0.000
-1.525 4.320 -0.006
0.000 -1.055 5.157
Au Zn Zr
1 2 1
Direct
0.500 0.000 0.000
0.757 0.513 0.784
0.243 0.487 0.216
0.000 0.000 0.500
```

**V**: 16.98 Å³ per atom
**DOS(E_F)**: 2.30 states/eV/cell
**Calculated formation energy**: -226 meV/atom
**Electronic total energy**: -17.1 eV/cell